DFT (PBE) results for an optimized crystal structure of LaOs2W.

Computed properties:
ΔE_f = 663 meV per atom
E above lowest polymorph = 526 meV per atom

Cell and atoms, written as CIF:
```
data_LaOs2W
_space_group_name_H-M_alt 'R 3 m'
_space_group_IT_number 160
_space_group_name_Hall 'R 3 -2"'
_cell_length_a 2.8646
_cell_length_b 2.8646
_cell_length_c 30.2713
_cell_angle_alpha 90.00
_cell_angle_beta 90.00
_cell_angle_gamma 120.00
loop_
_atom_site_label
_atom_site_type_symbol
_atom_site_fract_x
_atom_site_fract_y
_atom_site_fract_z
La1 La 0.0000 0.0000 0.0000
Os1 Os 0.0000 0.0000 0.4960
Os2 Os 0.0000 0.0000 0.7605
W1 W 0.0000 0.0000 0.2356
```